A plane-wave DFT calculation with GGA+U was carried out for a relaxed RbInW2O8 crystal.

Calculated values
Fermi-level density of states	0.000	states/eV per cell
calculated density	4.189	g cm⁻³
magnetization	0.00	Bohr magnetons per cell
excess energy over the best structure of this formula in the dataset	49	meV/atom

```
data_RbInW2O8
_cell_length_a 5.9344
_cell_length_b 5.9344
_cell_length_c 27.1382
_cell_angle_alpha 90.00
_cell_angle_beta 90.00
_cell_angle_gamma 120.00
_symmetry_space_group_name_H-M 'R 3 2'
_symmetry_Int_Tables_number 155
_symmetry_space_group_name_Hall 'R 3 2"'
loop_
_atom_site_label
_atom_site_fract_x
_atom_site_fract_y
_atom_site_fract_z
Rb1 0.0000 0.0000 0.0000
In1 0.0000 0.0000 0.5000
W1 0.0000 0.0000 0.2357
O1 0.0000 0.0000 0.3015
O2 0.0017 0.4972 0.1189
```